Density functional theory data (PBE) for crystalline TaBe2Al at its relaxed geometry.

Lattice parameters (Å, degrees): 8.489 8.489 8.489 18.75 18.75 18.75
Positions (direct):
Be (0.260, 0.260, 0.260)
Be (0.994, 0.994, 0.994)
Al (0.741, 0.741, 0.741)
Ta (0.505, 0.505, 0.505)

Summary:
* N(E_F): 0.87 states/eV/atom
* total moment: 0.00 μB/f.u.
* ΔE_f: 325 meV per atom
* DFT total energy: -21.746 eV for the cell shown



Density functional theory data (PBE) for crystalline Al3As at its relaxed geometry.

Lattice parameters (Å, degrees): 5.002 5.002 5.002 90.00 90.00 90.00
Positions (direct):
Al (0.000, 0.500, 0.000)
Al (0.500, 0.000, 0.000)
Al (0.000, 0.000, 0.500)
As (0.000, 0.000, 0.000)

Summary:
* N(E_F): 0.83 states/eV/atom
* total moment: 0.00 μB/f.u.
* ΔE_f: 966 meV per atom
* DFT total energy: -12.015 eV for the cell shown
* relative energy among the computed polymorphs: 970.5 meV per atom



Density functional theory data (PBE) for crystalline RbSn3Mo at its relaxed geometry.

Lattice parameters (Å, degrees): 5.352 5.352 5.352 90.00 90.00 90.00
Positions (direct):
Sn (0.000, 0.500, 0.000)
Sn (0.000, 0.000, 0.500)
Sn (0.500, 0.000, 0.000)
Rb (0.500, 0.500, 0.500)
Mo (0.000, 0.000, 0.000)

Summary:
* N(E_F): 0.73 states/eV/atom
* total moment: 0.00 μB/f.u.
* ΔE_f: 69 meV per atom
* DFT total energy: -23.465 eV for the cell shown
* relative energy among the computed polymorphs: 0.0 meV per atom



Density functional theory data (PBE) for crystalline Ta2BePt at its relaxed geometry.

Lattice parameters (Å, degrees): 4.461 4.461 4.461 60.00 60.00 60.00
Last column: magnetic moment on the atom in μB.
Positions (direct):
Pt (0.750, 0.750, 0.750)  0.08
Ta (0.000, 0.000, 0.000)  0.18
Ta (0.250, 0.250, 0.250)  0.40
Be (0.500, 0.500, 0.500)  0.00

Summary:
* N(E_F): 1.36 states/eV/atom
* total moment: 0.87 μB/f.u.
* ΔE_f: 79 meV per atom
* DFT total energy: -33.155 eV for the cell shown



Density functional theory data (PBE) for crystalline Mn2SnB at its relaxed geometry.

Lattice parameters (Å, degrees): 4.115 4.115 4.115 60.00 60.00 60.00
Last column: magnetic moment on the atom in μB.
Positions (direct):
Mn (0.750, 0.750, 0.750)  1.44
Mn (0.250, 0.250, 0.250)  1.44
B (0.000, 0.000, 0.000)  -0.13
Sn (0.500, 0.500, 0.500)  -0.07

Summary:
* N(E_F): 0.73 states/eV/atom
* total moment: 2.68 μB/f.u.
* ΔE_f: 712 meV per atom
* DFT total energy: -26.171 eV for the cell shown
* relative energy among the computed polymorphs: 89.3 meV per atom



Density functional theory data (PBE) for crystalline SmScAg at its relaxed geometry.

Lattice parameters (Å, degrees): 4.640 4.640 7.238 90.00 90.00 90.00
Positions (direct):
Sm (0.500, 0.000, 0.132)
Sm (0.000, 0.500, 0.868)
Sc (0.000, 0.000, 0.500)
Sc (0.500, 0.500, 0.500)
Ag (0.500, 0.000, 0.730)
Ag (0.000, 0.500, 0.270)

Summary:
* N(E_F): 1.47 states/eV/atom
* total moment: 0.00 μB/f.u.
* ΔE_f: -148 meV per atom
* DFT total energy: -28.692 eV for the cell shown
* relative energy among the computed polymorphs: 0.0 meV per atom



no.,V (Å³/atom)
1,13.81
2,31.29
3,30.66
4,15.69
5,12.32
6,25.97